Material: HgP2Os
Method: DFT, PBE
State: relaxed

The space group is Pmmm (No. 47) and the conventional cell measures 3.1805, 4.4043 and 4.6366 Å, with angles of 90.00, 90.00 and 90.00 degrees. Symmetry generates all atoms from Hg at (0.0000, 0.0000, 0.0000), P at (0.0000, 0.5000, 0.5000), P at (0.5000, 0.5000, 0.0000) and Os at (0.5000, 0.0000, 0.5000).

The density of states at the Fermi level is 0.778 states/eV per atom. Its final energy is -4.56 eV per atom. The calculation puts the formation energy at 1.03 eV/atom.